1.
VASP calculation (PBE) on crystalline TaAlZnMo2 at its relaxed geometry.

a b c (Å): 4.6063 4.2170 4.6063
angles (deg): 90.00 90.00 90.00
Closest atoms and distances in Å follow each position.
Fractional coordinates of all 5 atoms:
Mo 0.0000 0.0000 0.5000  2 Al 2.30
Mo 0.5000 0.0000 0.0000  2 Al 2.30
Ta 0.5000 0.5000 0.5000  8 Mo 3.12, 4 Zn 3.26
Zn 0.0000 0.5000 0.0000  2 Al 2.11
Al 0.0000 0.0000 0.0000  2 Zn 2.11, 4 Mo 2.30

volume: 17.90 Å³/atom
total magnetic moment: 0.00 μB/f.u.
formation energy from the elements: 1.154 eV per atom
E_tot: -32.76 eV per cell
space group: P4/mmm (123)


2.
VASP calculation (PBE) on crystalline Y2NiAgPt at its relaxed geometry.

a b c (Å): 5.3447 4.6587 5.3447
angles (deg): 90.00 90.00 90.00
Closest atoms and distances in Å follow each position.
Fractional coordinates of all 5 atoms:
Y 0.5000 0.0000 0.0000  2 Pt 2.67
Y 0.0000 0.0000 0.5000  2 Pt 2.67
Pt 0.0000 0.0000 0.0000  2 Ni 2.33
Ni 0.0000 0.5000 0.0000  2 Pt 2.33
Ag 0.5000 0.5000 0.5000  8 Y 3.55, 4 Ni 3.78

volume: 26.62 Å³/atom
total magnetic moment: 0.05 μB/f.u.
formation energy from the elements: -0.083 eV per atom
E_tot: -28.02 eV per cell
space group: P4/mmm (123)


3.
VASP calculation (PBE) on crystalline ScTcAg2 at its relaxed geometry.

a b c (Å): 9.9044 9.9044 9.9044
angles (deg): 16.77 16.77 16.77
Closest atoms and distances in Å follow each position.
Fractional coordinates of all 4 atoms:
Sc 0.2500 0.2500 0.2500  6 Sc 2.89, 6 Ag 3.02
Tc 0.7500 0.7500 0.7500  6 Tc 2.89, 6 Ag 2.90
Ag 0.4975 0.4975 0.4975  6 Ag 2.89, 3 Tc 2.90, 3 Sc 3.02
Ag 0.0025 0.0025 0.0025  6 Ag 2.89, 3 Tc 2.90, 3 Sc 3.02

volume: 17.63 Å³/atom
excess energy over the best structure of this formula in the dataset: 6.82 kcal/mol of atoms
total magnetic moment: 0.60 μB/f.u.
formation energy from the elements: 0.402 eV per atom
E_tot: -20.79 eV per cell
space group: R-3m (166)


4.
VASP calculation (PBE) on crystalline DyHoMg5 at its relaxed geometry.

a b c (Å): 5.8016 5.8016 6.5429
angles (deg): 100.81 100.81 113.49
Closest atoms and distances in Å follow each position.
Fractional coordinates of all 7 atoms:
Mg 0.5079 0.0828 0.7751  5 Mg 2.95-3.27, 1 Dy 3.21, 1 Ho 3.29
Mg 0.4921 0.9172 0.2249  5 Mg 2.95-3.27, 1 Dy 3.21, 1 Ho 3.29
Mg 0.0000 0.0000 0.5000  4 Mg 2.95, 2 Ho 3.18, 2 Dy 3.27
Mg 0.9172 0.4921 0.2249  5 Mg 2.95-3.27, 1 Dy 3.21, 1 Ho 3.29
Mg 0.0828 0.5079 0.7751  5 Mg 2.95-3.27, 1 Dy 3.21, 1 Ho 3.29
Dy 0.0000 0.0000 0.0000  10 Mg 3.21-3.44
Ho 0.5000 0.5000 0.5000  10 Mg 3.18-3.50

volume: 27.11 Å³/atom
total magnetic moment: 0.00 μB/f.u.
formation energy from the elements: 0.108 eV per atom
E_tot: -16.40 eV per cell
space group: C2/m (12)


5.
VASP calculation (PBE) on crystalline ErMg8Ag4 at its relaxed geometry.

a b c (Å): 5.6459 7.4929 7.4929
angles (deg): 81.84 67.87 67.87
Closest atoms and distances in Å follow each position.
Fractional coordinates of all 13 atoms:
Mg 0.5000 0.2124 0.7876  4 Ag 2.85, 4 Mg 2.95-3.10
Mg 0.6580 0.3420 0.3420  4 Ag 2.97, 5 Mg 3.10-3.22
Mg 0.7124 0.7876 0.7876  4 Ag 2.85, 4 Mg 2.95-3.10
Mg 0.0000 0.3420 0.6580  4 Ag 2.97, 5 Mg 3.10-3.22
Mg 0.3420 0.6580 0.6580  4 Ag 2.97, 5 Mg 3.10-3.22
Mg 0.0000 0.6580 0.3420  4 Ag 2.97, 5 Mg 3.10-3.22
Mg 0.2876 0.2124 0.2124  4 Ag 2.85, 4 Mg 2.95-3.10
Mg 0.5000 0.7876 0.2124  4 Ag 2.85, 4 Mg 2.95-3.10
Ag 0.5000 0.5000 0.0000  2 Ag 2.82, 8 Mg 2.85-2.97
Ag 0.0000 0.0000 0.5000  2 Ag 2.82, 8 Mg 2.85-2.97
Ag 0.5000 0.0000 0.5000  2 Ag 2.82, 8 Mg 2.85-2.97
Ag 0.0000 0.5000 0.0000  2 Ag 2.82, 8 Mg 2.85-2.97
Er 0.0000 0.0000 0.0000  12 Mg 3.36-3.51, 8 Ag 3.75

volume: 20.92 Å³/atom
total magnetic moment: 0.00 μB/f.u.
formation energy from the elements: -0.167 eV per atom
E_tot: -30.90 eV per cell
space group: I4/mmm (139)


6.
VASP calculation (PBE) on crystalline SrLi2Ca at its relaxed geometry.

a b c (Å): 5.7973 5.7973 5.7973
angles (deg): 60.00 60.00 60.00
Closest atoms and distances in Å follow each position.
Fractional coordinates of all 4 atoms:
Sr 0.5000 0.5000 0.5000  8 Li 3.55
Li 0.7500 0.7500 0.7500  4 Sr 3.55, 4 Ca 3.55
Li 0.2500 0.2500 0.2500  4 Sr 3.55, 4 Ca 3.55
Ca 0.0000 0.0000 0.0000  8 Li 3.55

volume: 34.44 Å³/atom
excess energy over the best structure of this formula in the dataset: 0.08 kcal/mol of atoms
total magnetic moment: 0.00 μB/f.u.
formation energy from the elements: 0.025 eV per atom
E_tot: -7.41 eV per cell
space group: Fm-3m (225)


7.
VASP calculation (PBE) on crystalline Nd3Dy2Ho at its relaxed geometry.

a b c (Å): 11.6305 6.2777 6.2777
angles (deg): 120.02 90.00 90.00
Closest atoms and distances in Å follow each position.
Fractional coordinates of all 12 atoms:
Dy 0.7196 0.5002 0.1668  6 Nd 3.58, 3 Dy 3.62-3.63, 3 Ho 3.62
Dy 0.2196 0.8332 0.4998  6 Nd 3.58, 3 Dy 3.62-3.63, 3 Ho 3.62
Dy 0.7196 0.1668 0.5002  6 Nd 3.58, 3 Dy 3.62-3.63, 3 Ho 3.62
Dy 0.2196 0.4998 0.8332  6 Nd 3.58, 3 Dy 3.62-3.63, 3 Ho 3.62
Nd 0.9697 0.8341 0.1669  2 Ho 3.58, 4 Dy 3.58, 6 Nd 3.62-3.63
Nd 0.4697 0.8331 0.1659  2 Ho 3.58, 4 Dy 3.58, 6 Nd 3.62-3.63
Nd 0.4696 0.4996 0.4996  2 Ho 3.58, 4 Dy 3.58, 6 Nd 3.62-3.63
Nd 0.9697 0.1669 0.8341  2 Ho 3.58, 4 Dy 3.58, 6 Nd 3.62-3.63
Nd 0.4697 0.1659 0.8331  2 Ho 3.58, 4 Dy 3.58, 6 Nd 3.62-3.63
Nd 0.9696 0.5004 0.5004  2 Ho 3.58, 4 Dy 3.58, 6 Nd 3.62-3.63
Ho 0.2197 0.1666 0.1666  6 Nd 3.58, 6 Dy 3.62
Ho 0.7197 0.8334 0.8334  6 Nd 3.58, 6 Dy 3.62

volume: 33.07 Å³/atom
excess energy over the best structure of this formula in the dataset: 0.00 kcal/mol of atoms
total magnetic moment: 0.00 μB/f.u.
formation energy from the elements: -0.005 eV per atom
E_tot: -56.23 eV per cell
space group: Cmcm (63)


8.
VASP calculation (PBE) on crystalline TaRe2Os2 at its relaxed geometry.

a b c (Å): 7.5646 7.5646 2.7801
angles (deg): 90.00 90.00 90.00
Closest atoms and distances in Å follow each position.
Fractional coordinates of all 10 atoms:
Re 0.3290 0.1710 0.5000  6 Os 2.59-2.66, 2 Re 2.78
Re 0.1710 0.6710 0.5000  6 Os 2.59-2.66, 2 Re 2.78
Re 0.8290 0.3290 0.5000  6 Os 2.59-2.66, 2 Re 2.78
Re 0.6710 0.8290 0.5000  6 Os 2.59-2.66, 2 Re 2.78
Os 0.3756 0.8756 0.0000  6 Re 2.59-2.66, 3 Os 2.66-2.78
Os 0.8756 0.6244 0.0000  6 Re 2.59-2.66, 3 Os 2.66-2.78
Os 0.1244 0.3756 0.0000  6 Re 2.59-2.66, 3 Os 2.66-2.78
Os 0.6244 0.1244 0.0000  6 Re 2.59-2.66, 3 Os 2.66-2.78
Ta 0.0000 0.0000 0.0000  2 Ta 2.78, 4 Os 2.99
Ta 0.5000 0.5000 0.0000  2 Ta 2.78, 4 Os 2.99

volume: 15.91 Å³/atom
excess energy over the best structure of this formula in the dataset: 0.00 kcal/mol of atoms
total magnetic moment: 0.00 μB/f.u.
formation energy from the elements: 0.060 eV per atom
E_tot: -117.82 eV per cell
space group: P4/mbm (127)


9.
VASP calculation (PBE) on crystalline Sm6Rh2SBr3 at its relaxed geometry.

a b c (Å): 7.1650 7.1650 7.8961
angles (deg): 98.64 98.64 119.94
Closest atoms and distances in Å follow each position.
Fractional coordinates of all 12 atoms:
Rh 0.3325 0.6675 0.0000  6 Sm 2.77
Rh 0.6675 0.3325 0.0000  6 Sm 2.77
Sm 0.0664 0.4134 0.1973  2 Rh 2.77, 1 S 2.90
Sm 0.4134 0.0664 0.1973  2 Rh 2.77, 1 S 2.90
Sm 0.7172 0.7172 0.1958  2 Rh 2.77, 1 S 2.90
Sm 0.9336 0.5866 0.8027  2 Rh 2.77, 1 S 2.90
Sm 0.2828 0.2828 0.8042  2 Rh 2.77, 1 S 2.90
Sm 0.5866 0.9336 0.8027  2 Rh 2.77, 1 S 2.90
Br 0.1610 0.8390 0.5000  6 Sm 3.28-3.34
Br 0.8390 0.1610 0.5000  6 Sm 3.28-3.34
Br 0.5000 0.5000 0.5000  6 Sm 3.23-3.34
S 0.0000 0.0000 0.0000  6 Sm 2.90

volume: 27.92 Å³/atom
total magnetic moment: 0.00 μB/f.u.
E_tot: -66.77 eV per cell
space group: C2/m (12)


10.
VASP calculation (PBE) on crystalline PmHoThCd at its relaxed geometry.

a b c (Å): 5.5034 5.5034 5.5034
angles (deg): 60.00 60.00 60.00
Closest atoms and distances in Å follow each position.
Fractional coordinates of all 4 atoms:
Cd 0.7500 0.7500 0.7500  4 Ho 3.37, 4 Th 3.37
Ho 0.5000 0.5000 0.5000  4 Pm 3.37, 4 Cd 3.37
Th 0.0000 0.0000 0.0000  4 Cd 3.37, 4 Pm 3.37
Pm 0.2500 0.2500 0.2500  4 Th 3.37, 4 Ho 3.37

volume: 29.47 Å³/atom
excess energy over the best structure of this formula in the dataset: 5.58 kcal/mol of atoms
total magnetic moment: 0.17 μB/f.u.
formation energy from the elements: 0.077 eV per atom
E_tot: -17.36 eV per cell
space group: F-43m (216)


11.
VASP calculation (PBE) on crystalline DyThBi at its relaxed geometry.

a b c (Å): 4.5432 4.5432 9.0333
angles (deg): 90.02 89.98 90.00
Closest atoms and distances in Å follow each position.
Fractional coordinates of all 6 atoms:
Bi 0.2495 0.7505 0.2902  5 Dy 3.18-3.27, 4 Th 3.47
Bi 0.7505 0.2495 0.7098  5 Dy 3.18-3.27, 4 Th 3.47
Th 0.2500 0.2500 0.0000  4 Th 3.21, 4 Bi 3.47
Th 0.7500 0.7500 0.0000  4 Th 3.21, 4 Bi 3.47
Dy 0.7495 0.2505 0.3575  5 Bi 3.18-3.27
Dy 0.2505 0.7495 0.6425  5 Bi 3.18-3.27

volume: 31.08 Å³/atom
total magnetic moment: 0.00 μB/f.u.
formation energy from the elements: -0.459 eV per atom
E_tot: -34.56 eV per cell
space group: C2/m (12)


12.
VASP calculation (PBE) on crystalline Cs2PbSCl6 at its relaxed geometry.

a b c (Å): 7.3559 7.3559 8.3422
angles (deg): 63.84 63.84 90.00
Closest atoms and distances in Å follow each position.
Fractional coordinates of all 10 atoms:
Cs 0.7500 0.2500 0.5000  4 Cl 3.71
Cs 0.2500 0.7500 0.5000  4 Cl 3.71
Cl 0.7259 0.7259 0.0000  1 S 2.35
Cl 0.2151 0.2151 0.5698  1 Pb 2.81
Cl 0.2741 0.2741 0.0000  1 S 2.35
Cl 0.2741 0.7259 0.0000  1 S 2.35
Cl 0.7849 0.7849 0.4302  1 Pb 2.81
Cl 0.7259 0.2741 0.0000  1 S 2.35
S 0.5000 0.5000 0.0000  4 Cl 2.35
Pb 0.0000 0.0000 0.0000  6 Cl 2.81-2.85

volume: 35.29 Å³/atom
total magnetic moment: 0.00 μB/f.u.
E_tot: -31.79 eV per cell
space group: I4/mmm (139)